A plane-wave DFT calculation with PBE was carried out for a relaxed DySc2IO8 crystal.

Unit cell a=4.8468 b=4.8466 c=6.6043 alpha=90.00 beta=90.00 gamma=89.91
Closest atoms and distances in Å follow each position.
Fractional positions:
O: 0.3183 0.3179 0.5000  2 Sc 2.03, 1 Dy 2.18
O: 0.6817 0.6821 0.5000  2 Sc 2.03, 1 Dy 2.18
I: 0.0000 0.0000 0.0000  6 O 1.91
Dy: 0.0000 0.0000 0.5000  6 O 2.18-2.30
O: 0.2779 0.2776 0.0000  1 I 1.91
O: 0.1893 0.8104 0.2121  1 I 1.91
Sc: 0.5000 0.5000 0.7417  4 O 2.03-2.15
Sc: 0.5000 0.5000 0.2583  4 O 2.03-2.15
O: 0.1894 0.8104 0.7879  1 I 1.91
O: 0.7221 0.7224 0.0000  1 I 1.91
O: 0.8106 0.1896 0.2121  1 I 1.91
O: 0.8107 0.1896 0.7879  1 I 1.91

Calculated values
E_tot, eV per atom: -7.18

=====

A plane-wave DFT calculation with PBE was carried out for a relaxed Er5Sb4C crystal.

Unit cell a=6.0806 b=7.2637 c=7.2637 alpha=79.91 beta=65.26 gamma=65.26
Closest atoms and distances in Å follow each position.
Fractional positions:
Er: 0.4392 0.0000 0.0000  1 C 2.38
Er: 0.2522 0.8434 0.6551  1 C 2.51
C: 0.0472 0.0000 0.0000  5 Er 2.38-2.51
Er: 0.0956 0.6551 0.1566  1 C 2.51
Sb: 0.1931 0.2284 0.3946  6 Er 3.03-3.22
Er: 0.9073 0.3449 0.8434  1 C 2.51
Sb: 0.8160 0.7716 0.6054  6 Er 3.03-3.22
Er: 0.7507 0.1566 0.3449  1 C 2.51
Sb: 0.5876 0.6054 0.2284  6 Er 3.03-3.22
Sb: 0.4214 0.3946 0.7716  6 Er 3.03-3.22

Calculated values
E_tot, eV per atom: -5.66
Fermi-level density of states, states/eV/atom: 0.321

=====

A plane-wave DFT calculation with PBE was carried out for a relaxed MnZn2Re crystal.

Unit cell a=2.6279 b=2.6279 c=8.4354 alpha=90.00 beta=90.00 gamma=104.13
Closest atoms and distances in Å follow each position.
Fractional positions:
Zn: 0.0000 0.0000 0.0088  4 Mn 2.60-2.90, 4 Zn 2.63, 2 Re 2.72
Zn: 0.0000 0.0000 0.4912  4 Mn 2.60-2.90, 4 Zn 2.63, 2 Re 2.72
Re: 0.5000 0.5000 0.7500  4 Re 2.63, 4 Zn 2.72
Mn: 0.5000 0.5000 0.2500  8 Zn 2.60-2.90, 4 Mn 2.63

Calculated values
E_tot, eV per atom: -5.83
Formation enthalpy at 0 K, eV per atom: 0.214
Fermi-level density of states, states/eV/atom: 0.768

=====

no.,size of the total moment (μB per formula unit)
1,0.000
2,0.000
3,2.906